The following is a PBE+U calculation of CrMoIO2 after structural relaxation, from Alexandria via LeMat-Bulk.

Unit cell a=3.955 b=3.955 c=6.382 alpha=90.00 beta=90.00 gamma=90.00
Element x y z (fractional)
Cr 0.000 0.000 0.000
Mo 0.500 0.500 0.500
I 0.000 0.000 0.500
O 0.000 0.500 0.000
O 0.500 0.000 0.000

Summary:
Its density is 5.1 g cm⁻³. The calculation puts the polymorph energy (0 for the lowest one) at 46.0 kJ per mole of atoms. Its magnetic moment is 2.192 Bohr magnetons per cell. As for the space group: P4/mmm (123).